(1)
Entry from Alexandria via LeMat-Bulk: crystalline Li2SmGaGe2 at its relaxed geometry (PBE).

Cell and atoms, written as extended XYZ:
```
12
Lattice="4.152 0.000 0.000 0.000 8.010 0.000 0.000 0.000 7.238" Properties=species:S:1:pos:R:3 pbc="T T T"
Li 0.000 0.569 0.000
Li 0.000 7.441 3.619
Li 2.076 1.344 2.344
Li 2.076 6.666 5.962
Sm 2.076 3.446 6.842
Sm 2.076 4.564 3.223
Ga 0.000 2.450 4.370
Ga 0.000 5.560 0.751
Ge 0.000 2.921 1.694
Ge 0.000 5.089 5.313
Ge 2.076 1.107 5.023
Ge 2.076 6.903 1.404
```

space group = Pmc2_1
energy of formation from the pure elements = -0.506 eV/atom
size of the total moment = 0.000 μB/atom

(2)
Entry from Alexandria via LeMat-Bulk: crystalline Er3Ni2 at its relaxed geometry (PBE).

Cell and atoms, written as extended XYZ:
```
15
Lattice="8.715 -1.988 0.000 8.715 1.988 0.000 -1.338 0.000 10.137" Properties=species:S:1:pos:R:3 pbc="T T T"
Er 0.000 0.000 0.000
Er -0.201 0.000 6.682
Er 4.562 0.000 3.903
Er 5.668 0.000 0.487
Er 5.621 0.000 7.346
Er 10.470 0.000 2.791
Er 10.424 0.000 9.650
Er 11.530 0.000 6.234
Er 16.292 0.000 3.455
Ni 1.743 0.000 4.675
Ni 3.079 0.000 1.418
Ni 7.982 0.000 1.745
Ni 8.110 0.000 8.392
Ni 13.012 0.000 8.719
Ni 14.349 0.000 5.462
```

space group = C2/m
energy of formation from the pure elements = -0.279 eV/atom
energy relative to the lowest polymorph listed for this composition = 106 meV/atom
size of the total moment = 0.000 μB/atom

(3)
Entry from Alexandria via LeMat-Bulk: crystalline Ba2NbBP at its relaxed geometry (PBE).

Cell and atoms, written as extended XYZ:
```
5
Lattice="6.048 0.000 0.000 0.000 6.048 0.000 0.000 0.000 4.731" Properties=species:S:1:pos:R:3 pbc="T T T"
Ba 0.000 3.024 0.000
Ba 3.024 0.000 0.000
Nb 0.000 0.000 0.000
B 3.024 3.024 2.366
P 0.000 0.000 2.366
```

space group = P4/mmm
energy of formation from the pure elements = 1.013 eV/atom
size of the total moment = 0.370 μB/atom

What is the energy of formation from the pure elements in the third record? 1.013 eV/atom